Crystalline Hf4IrC2 at its relaxed geometry. Source: Alexandria via LeMat-Bulk, functional PBE.

Summary:
symmetry: No. 63
calculated formation energy: -0.830 eV/atom

abc: 5.821 5.821 11.905
angles: 90.00 90.00 146.70
Fractional positions:
Hf: 0.000 0.000 0.000
Hf: 0.000 0.000 0.500
Hf: 0.270 0.730 0.608
Hf: 0.270 0.730 0.892
Hf: 0.429 0.571 0.250
Hf: 0.571 0.429 0.750
Hf: 0.730 0.270 0.108
Hf: 0.730 0.270 0.392
Ir: 0.110 0.890 0.250
Ir: 0.890 0.110 0.750
C: 0.366 0.634 0.060
C: 0.366 0.634 0.440
C: 0.634 0.366 0.560
C: 0.634 0.366 0.940

Crystalline Hf6IrC at its relaxed geometry. Source: Alexandria via LeMat-Bulk, functional PBE.

Summary:
symmetry: No. 2
calculated formation energy: -0.414 eV/atom

abc: 5.069 5.738 5.836
angles: 97.42 113.06 92.32
Fractional positions:
Hf: 0.057 0.291 0.159
Hf: 0.242 0.830 0.486
Hf: 0.389 0.366 0.758
Hf: 0.611 0.634 0.242
Hf: 0.758 0.170 0.514
Hf: 0.943 0.709 0.841
Ir: 0.500 0.000 0.000
C: 0.000 0.500 0.500

Q: Which of these has the lowest calculated formation energy?
A: Hf4IrC2